Record 1
# ZrFeRu2 PBE relaxed
data_ZrFeRu2
_chemical_formula_sum 'Zr1 Fe1 Ru2'
_space_group_name_H-M_alt 'P 1 2/m 1'
_space_group_IT_number 10
_cell_length_a 2.8272
_cell_length_b 4.2471
_cell_length_c 5.2366
_cell_angle_alpha 90.00
_cell_angle_beta 98.85
_cell_angle_gamma 90.00
loop_
_space_group_symop_operation_xyz
'x,y,z'
'-x,-y,-z'
'-x,y,-z'
'x,-y,z'
loop_
_atom_site_label
_atom_site_type_symbol
_atom_site_fract_x
_atom_site_fract_y
_atom_site_fract_z
Zr1 Zr 0.0000 0.0000 0.0000
Fe1 Fe 0.5000 0.0000 0.5000
Ru1 Ru 0.2885 0.5000 0.7231
# formation energy: 0.008 eV/atom
# ρ: 9.3 g/cm³


Record 2
# Pm2MgZn3 PBE relaxed
data_Pm2MgZn3
_chemical_formula_sum 'Pm4 Mg2 Zn6'
_space_group_name_H-M_alt 'P -3 m 1'
_space_group_IT_number 164
_space_group_name_Hall '-P 3 2"'
_cell_length_a 4.9692
_cell_length_b 4.9692
_cell_length_c 12.5362
_cell_angle_alpha 90.00
_cell_angle_beta 90.00
_cell_angle_gamma 120.00
loop_
_atom_site_label
_atom_site_type_symbol
_atom_site_fract_x
_atom_site_fract_y
_atom_site_fract_z
Pm1 Pm 0.0000 0.0000 0.0000
Pm2 Pm 0.0000 0.0000 0.5000
Pm3 Pm 0.3333 0.6667 0.1836
Mg1 Mg 0.3333 0.6667 0.6613
Zn1 Zn 0.0000 0.0000 0.2567
Zn2 Zn 0.3333 0.6667 0.4206
Zn3 Zn 0.3333 0.6667 0.9087
# energy relative to the lowest polymorph listed for this composition: 0 meV/atom
# formation energy: -0.312 eV/atom
# ρ: 6.3 g/cm³


Record 3
# GaHg2Au8 PBE relaxed
data_GaHg2Au8
_chemical_formula_sum 'Ga2 Hg4 Au16'
_space_group_name_H-M_alt 'C 1 2/m 1'
_space_group_IT_number 12
_cell_length_a 11.0692
_cell_length_b 8.8746
_cell_length_c 5.4144
_cell_angle_alpha 90.00
_cell_angle_beta 111.57
_cell_angle_gamma 90.00
loop_
_space_group_symop_operation_xyz
'x,y,z'
'-x,-y,-z'
'-x,y,-z'
'x,-y,z'
'x+1/2,y+1/2,z'
'-x+1/2,-y+1/2,-z'
'-x+1/2,y+1/2,-z'
'x+1/2,-y+1/2,z'
loop_
_atom_site_label
_atom_site_type_symbol
_atom_site_fract_x
_atom_site_fract_y
_atom_site_fract_z
Ga1 Ga 0.0000 0.0000 0.0000
Hg1 Hg 0.1592 0.0000 0.6104
Au1 Au 0.0461 0.5000 0.2820
Au2 Au 0.1201 0.2554 0.9769
Au3 Au 0.2296 0.5000 0.7894
# energy relative to the lowest polymorph listed for this composition: 50 meV/atom
# formation energy: 0.071 eV/atom
# ρ: 13.7 g/cm³


Repeat the second record exactly.
# Pm2MgZn3 PBE relaxed
data_Pm2MgZn3
_chemical_formula_sum 'Pm4 Mg2 Zn6'
_space_group_name_H-M_alt 'P -3 m 1'
_space_group_IT_number 164
_space_group_name_Hall '-P 3 2"'
_cell_length_a 4.9692
_cell_length_b 4.9692
_cell_length_c 12.5362
_cell_angle_alpha 90.00
_cell_angle_beta 90.00
_cell_angle_gamma 120.00
loop_
_atom_site_label
_atom_site_type_symbol
_atom_site_fract_x
_atom_site_fract_y
_atom_site_fract_z
Pm1 Pm 0.0000 0.0000 0.0000
Pm2 Pm 0.0000 0.0000 0.5000
Pm3 Pm 0.3333 0.6667 0.1836
Mg1 Mg 0.3333 0.6667 0.6613
Zn1 Zn 0.0000 0.0000 0.2567
Zn2 Zn 0.3333 0.6667 0.4206
Zn3 Zn 0.3333 0.6667 0.9087
# energy relative to the lowest polymorph listed for this composition: 0 meV/atom
# formation energy: -0.312 eV/atom
# ρ: 6.3 g/cm³


- Look up the formation energy of the first one.
  0.008 eV/atom